A geometry-optimized SrYbAl2Si2N5O2 structure. Source: Alexandria via LeMat-Bulk, functional GGA-PBE.

Cell and atoms, written as CIF:
```
data_SrYbAl2Si2N5O2
_chemical_formula_sum 'Sr2 Yb2 Al4 Si4 N10 O4'
_cell_length_a 6.057
_cell_length_b 6.112
_cell_length_c 10.022
_cell_angle_alpha 89.91
_cell_angle_beta 89.51
_cell_angle_gamma 60.38
_symmetry_space_group_name_H-M 'P 1'
_symmetry_Int_Tables_number 1
_symmetry_space_group_name_Hall 'P 1'
loop_
_atom_site_label
_atom_site_fract_x
_atom_site_fract_y
_atom_site_fract_z
Sr1 0.000 0.000 0.000
Sr2 0.324 0.335 0.528
Yb1 0.000 0.001 0.636
Yb2 0.331 0.333 0.135
Al1 0.331 0.817 0.328
Al2 0.501 0.006 0.832
Al3 0.812 0.845 0.331
Al4 0.840 0.332 0.328
Si1 0.006 0.481 0.830
Si2 0.475 0.519 0.832
Si3 0.664 0.662 0.568
Si4 0.666 0.671 0.065
N1 0.163 0.643 0.779
N2 0.171 0.175 0.776
N3 0.361 0.772 0.510
N4 0.476 0.557 0.001
N5 0.564 0.972 0.011
N6 0.664 0.661 0.245
N7 0.667 0.653 0.756
N8 0.761 0.869 0.514
N9 0.861 0.363 0.509
N10 0.970 0.480 0.002
O1 0.137 0.686 0.276
O2 0.162 0.137 0.269
O3 0.633 0.212 0.781
O4 0.680 0.167 0.278
```

Summary:
For the electronic total energy, the calculation gives -7.29 eV per atom. The total magnetic moment comes out at 0.08 μB/atom. The value obtained for the formation energy (no corrections) is -1.67 eV/atom. The value obtained for the density of states at the Fermi level is 0.938 states/eV/atom.

***

A geometry-optimized Sm2AlNO3 structure. Source: Alexandria via LeMat-Bulk, functional GGA-PBE.

Cell and atoms, written as CIF:
```
data_Sm2AlNO3
_chemical_formula_sum 'Sm4 Al2 N2 O6'
_cell_length_a 3.698
_cell_length_b 3.698
_cell_length_c 12.452
_cell_angle_alpha 90.00
_cell_angle_beta 90.00
_cell_angle_gamma 90.00
_symmetry_space_group_name_H-M 'I 4 m m'
_symmetry_Int_Tables_number 107
_symmetry_space_group_name_Hall 'I 4 -2'
loop_
_atom_site_label
_atom_site_fract_x
_atom_site_fract_y
_atom_site_fract_z
Sm1 0.000 0.000 0.000
Sm2 0.000 0.000 0.290
Al1 0.000 0.000 0.638
N1 0.000 0.000 0.477
O1 0.000 0.000 0.814
O2 0.000 0.500 0.152
```

Summary:
For the electronic total energy, the calculation gives -7.97 eV per atom. The total magnetic moment comes out at 0.00 μB/atom. The value obtained for the formation energy (no corrections) is -2.77 eV/atom. The value obtained for the density of states at the Fermi level is 0.000 states/eV/atom.

***

A geometry-optimized AlSnN2O structure. Source: Alexandria via LeMat-Bulk, functional GGA-PBE.

Cell and atoms, written as CIF:
```
data_AlSnN2O
_chemical_formula_sum 'Al1 Sn1 N2 O1'
_cell_length_a 3.900
_cell_length_b 3.900
_cell_length_c 3.632
_cell_angle_alpha 90.00
_cell_angle_beta 90.00
_cell_angle_gamma 90.00
_symmetry_space_group_name_H-M 'P 4/m m m'
_symmetry_Int_Tables_number 123
_symmetry_space_group_name_Hall '-P 4 2'
loop_
_atom_site_label
_atom_site_fract_x
_atom_site_fract_y
_atom_site_fract_z
Al1 0.000 0.000 0.000
Sn1 0.500 0.500 0.500
N1 0.000 0.500 0.000
O1 0.000 0.000 0.500
```

Summary:
For the electronic total energy, the calculation gives -5.90 eV per atom. The total magnetic moment comes out at 0.00 μB/atom. The value obtained for the formation energy (no corrections) is -0.03 eV/atom. The value obtained for the density of states at the Fermi level is 0.753 states/eV/atom.

***

A geometry-optimized AlSnN2O structure. Source: Alexandria via LeMat-Bulk, functional GGA-PBE.

Cell and atoms, written as CIF:
```
data_AlSnN2O
_chemical_formula_sum 'Al1 Sn1 N2 O1'
_cell_length_a 4.129
_cell_length_b 4.129
_cell_length_c 3.984
_cell_angle_alpha 90.00
_cell_angle_beta 90.00
_cell_angle_gamma 90.00
_symmetry_space_group_name_H-M 'P 4/m m m'
_symmetry_Int_Tables_number 123
_symmetry_space_group_name_Hall '-P 4 2'
loop_
_atom_site_label
_atom_site_fract_x
_atom_site_fract_y
_atom_site_fract_z
Al1 0.000 0.000 0.000
Sn1 0.500 0.500 0.500
N1 0.000 0.500 0.500
O1 0.500 0.500 0.000
```

Summary:
For the electronic total energy, the calculation gives -5.08 eV per atom. The total magnetic moment comes out at 0.11 μB/atom. The value obtained for the formation energy (no corrections) is 0.79 eV/atom. The value obtained for the density of states at the Fermi level is 0.846 states/eV/atom.

***

A geometry-optimized SrAlNO2 structure. Source: Alexandria via LeMat-Bulk, functional GGA-PBE.

Cell and atoms, written as CIF:
```
data_SrAlNO2
_chemical_formula_sum 'Sr1 Al1 N1 O2'
_cell_length_a 4.639
_cell_length_b 4.639
_cell_length_c 4.957
_cell_angle_alpha 90.00
_cell_angle_beta 90.00
_cell_angle_gamma 90.00
_symmetry_space_group_name_H-M 'P 4/m m m'
_symmetry_Int_Tables_number 123
_symmetry_space_group_name_Hall '-P 4 2'
loop_
_atom_site_label
_atom_site_fract_x
_atom_site_fract_y
_atom_site_fract_z
Sr1 0.000 0.000 0.000
Al1 0.500 0.500 0.500
N1 0.000 0.000 0.500
O1 0.000 0.500 0.000
```

Summary:
For the electronic total energy, the calculation gives -4.17 eV per atom. The total magnetic moment comes out at 0.43 μB/atom. The value obtained for the formation energy (no corrections) is 0.57 eV/atom. The value obtained for the density of states at the Fermi level is 1.084 states/eV/atom.

***

A geometry-optimized SrAlNO2 structure. Source: Alexandria via LeMat-Bulk, functional GGA-PBE.

Cell and atoms, written as CIF:
```
data_SrAlNO2
_chemical_formula_sum 'Sr1 Al1 N1 O2'
_cell_length_a 3.895
_cell_length_b 3.895
_cell_length_c 3.881
_cell_angle_alpha 90.00
_cell_angle_beta 90.00
_cell_angle_gamma 90.00
_symmetry_space_group_name_H-M 'P 4/m m m'
_symmetry_Int_Tables_number 123
_symmetry_space_group_name_Hall '-P 4 2'
loop_
_atom_site_label
_atom_site_fract_x
_atom_site_fract_y
_atom_site_fract_z
Sr1 0.000 0.000 0.000
Al1 0.500 0.500 0.500
N1 0.500 0.500 0.000
O1 0.000 0.500 0.500
```

Summary:
For the electronic total energy, the calculation gives -6.42 eV per atom. The total magnetic moment comes out at 0.40 μB/atom. The value obtained for the formation energy (no corrections) is -1.68 eV/atom. The value obtained for the density of states at the Fermi level is 0.274 states/eV/atom.

***

A geometry-optimized SrAlN2O structure. Source: Alexandria via LeMat-Bulk, functional GGA-PBE.

Cell and atoms, written as CIF:
```
data_SrAlN2O
_chemical_formula_sum 'Sr1 Al1 N2 O1'
_cell_length_a 3.942
_cell_length_b 3.942
_cell_length_c 3.915
_cell_angle_alpha 90.00
_cell_angle_beta 90.00
_cell_angle_gamma 90.00
_symmetry_space_group_name_H-M 'P 4/m m m'
_symmetry_Int_Tables_number 123
_symmetry_space_group_name_Hall '-P 4 2'
loop_
_atom_site_label
_atom_site_fract_x
_atom_site_fract_y
_atom_site_fract_z
Sr1 0.000 0.000 0.000
Al1 0.500 0.500 0.500
N1 0.000 0.500 0.500
O1 0.500 0.500 0.000
```

Summary:
For the electronic total energy, the calculation gives -6.17 eV per atom. The total magnetic moment comes out at 0.53 μB/atom. The value obtained for the formation energy (no corrections) is -0.76 eV/atom. The value obtained for the density of states at the Fermi level is 0.281 states/eV/atom.

***

A geometry-optimized SrAl2NO2 structure. Source: Alexandria via LeMat-Bulk, functional GGA-PBE.

Cell and atoms, written as CIF:
```
data_SrAl2NO2
_chemical_formula_sum 'Sr2 Al4 N2 O4'
_cell_length_a 5.272
_cell_length_b 5.068
_cell_length_c 6.720
_cell_angle_alpha 90.00
_cell_angle_beta 93.07
_cell_angle_gamma 90.00
_symmetry_space_group_name_H-M 'P 1 21/m 1'
_symmetry_Int_Tables_number 11
_symmetry_space_group_name_Hall '-P 2yb'
loop_
_atom_site_label
_atom_site_fract_x
_atom_site_fract_y
_atom_site_fract_z
Sr1 0.209 0.250 0.374
Al1 0.295 0.002 0.872
N1 0.441 0.750 0.065
O1 0.112 0.250 0.721
O2 0.311 0.750 0.673
```

Summary:
For the electronic total energy, the calculation gives -6.39 eV per atom. The total magnetic moment comes out at 0.00 μB/atom. The value obtained for the formation energy (no corrections) is -1.82 eV/atom. The value obtained for the density of states at the Fermi level is 0.209 states/eV/atom.

***

A geometry-optimized SrAlN2O structure. Source: Alexandria via LeMat-Bulk, functional GGA-PBE.

Cell and atoms, written as CIF:
```
data_SrAlN2O
_chemical_formula_sum 'Sr1 Al1 N2 O1'
_cell_length_a 4.989
_cell_length_b 4.989
_cell_length_c 4.593
_cell_angle_alpha 90.00
_cell_angle_beta 90.00
_cell_angle_gamma 90.00
_symmetry_space_group_name_H-M 'P 4/m m m'
_symmetry_Int_Tables_number 123
_symmetry_space_group_name_Hall '-P 4 2'
loop_
_atom_site_label
_atom_site_fract_x
_atom_site_fract_y
_atom_site_fract_z
Sr1 0.000 0.000 0.000
Al1 0.500 0.500 0.500
N1 0.000 0.500 0.000
O1 0.000 0.000 0.500
```

Summary:
For the electronic total energy, the calculation gives -4.11 eV per atom. The total magnetic moment comes out at 1.00 μB/atom. The value obtained for the formation energy (no corrections) is 1.29 eV/atom. The value obtained for the density of states at the Fermi level is 0.558 states/eV/atom.

***

A geometry-optimized TaAlN2O structure. Source: Alexandria via LeMat-Bulk, functional GGA-PBE.

Cell and atoms, written as CIF:
```
data_TaAlN2O
_chemical_formula_sum 'Ta1 Al1 N2 O1'
_cell_length_a 3.736
_cell_length_b 3.736
_cell_length_c 3.454
_cell_angle_alpha 90.00
_cell_angle_beta 90.00
_cell_angle_gamma 90.00
_symmetry_space_group_name_H-M 'P 4/m m m'
_symmetry_Int_Tables_number 123
_symmetry_space_group_name_Hall '-P 4 2'
loop_
_atom_site_label
_atom_site_fract_x
_atom_site_fract_y
_atom_site_fract_z
Ta1 0.000 0.000 0.000
Al1 0.500 0.500 0.500
N1 0.000 0.500 0.500
O1 0.500 0.500 0.000
```

Summary:
For the electronic total energy, the calculation gives -7.92 eV per atom. The total magnetic moment comes out at 0.00 μB/atom. The value obtained for the formation energy (no corrections) is -0.48 eV/atom. The value obtained for the density of states at the Fermi level is 0.211 states/eV/atom.

***

A geometry-optimized TaAlN2O structure. Source: Alexandria via LeMat-Bulk, functional GGA-PBE.

Cell and atoms, written as CIF:
```
data_TaAlN2O
_chemical_formula_sum 'Ta1 Al1 N2 O1'
_cell_length_a 4.102
_cell_length_b 4.102
_cell_length_c 3.877
_cell_angle_alpha 90.00
_cell_angle_beta 90.00
_cell_angle_gamma 90.00
_symmetry_space_group_name_H-M 'P 4/m m m'
_symmetry_Int_Tables_number 123
_symmetry_space_group_name_Hall '-P 4 2'
loop_
_atom_site_label
_atom_site_fract_x
_atom_site_fract_y
_atom_site_fract_z
Ta1 0.000 0.000 0.000
Al1 0.500 0.500 0.500
N1 0.000 0.500 0.000
O1 0.000 0.000 0.500
```

Summary:
For the electronic total energy, the calculation gives -7.88 eV per atom. The total magnetic moment comes out at 0.00 μB/atom. The value obtained for the formation energy (no corrections) is -0.44 eV/atom. The value obtained for the density of states at the Fermi level is 0.335 states/eV/atom.

***

A geometry-optimized TaAlNO2 structure. Source: Alexandria via LeMat-Bulk, functional GGA-PBE.

Cell and atoms, written as CIF:
```
data_TaAlNO2
_chemical_formula_sum 'Ta1 Al1 N1 O2'
_cell_length_a 3.502
_cell_length_b 3.502
_cell_length_c 3.933
_cell_angle_alpha 90.00
_cell_angle_beta 90.00
_cell_angle_gamma 90.00
_symmetry_space_group_name_H-M 'P 4/m m m'
_symmetry_Int_Tables_number 123
_symmetry_space_group_name_Hall '-P 4 2'
loop_
_atom_site_label
_atom_site_fract_x
_atom_site_fract_y
_atom_site_fract_z
Ta1 0.000 0.000 0.000
Al1 0.500 0.500 0.500
N1 0.500 0.500 0.000
O1 0.000 0.500 0.500
```

Summary:
For the electronic total energy, the calculation gives -7.96 eV per atom. The total magnetic moment comes out at 0.12 μB/atom. The value obtained for the formation energy (no corrections) is -1.19 eV/atom. The value obtained for the density of states at the Fermi level is 0.475 states/eV/atom.